(1)
TaMoS2 | GGA-PBE | optimized geometry

The space group is I-42d (No. 122) and the conventional cell measures 4.4827, 4.4827 and 14.2662 Å, with angles of 90.00, 90.00 and 90.00 degrees. The distinct sites, in fractional coordinates, are Ta at (0.0000, 0.0000, 0.0000), Mo at (0.0000, 0.0000, 0.5000) and S at (0.2410, 0.2500, 0.6250).

Its density of states at the Fermi level is 6.988 states/eV per cell. Its uncorrected formation energy is -0.2151 eV/atom. The polymorph energy (0 for the lowest one) comes out at 0.106 eV per atom. Its raw total energy is -127.196 eV per cell. The theoretical density is 7.9 g cm⁻³.

=====

(2)
TaMo2S | GGA-PBE | optimized geometry

The space group is I-42d (No. 122) and the conventional cell measures 7.4399, 7.4399 and 4.9226 Å, with angles of 90.00, 90.00 and 90.00 degrees. The distinct sites, in fractional coordinates, are Ta at (0.0000, 0.0000, 0.0000), Mo at (0.1576, 0.2500, 0.6250) and S at (0.0000, 0.0000, 0.5000).

Its density of states at the Fermi level is 13.153 states/eV per cell. Its uncorrected formation energy is 0.2451 eV/atom. Its raw total energy is -146.648 eV per cell. The theoretical density is 9.9 g cm⁻³.

=====

(3)
Ta4MoS8 | GGA-PBE | optimized geometry

The space group is P-3m1 (No. 164) and the conventional cell measures 3.3217, 3.3217 and 26.6983 Å, with angles of 90.00, 90.00 and 120.00 degrees. The distinct sites, in fractional coordinates, are Ta at (0.0000, 0.0000, 0.1200), Ta at (0.0000, 0.0000, 0.3753), Mo at (0.0000, 0.0000, 0.0000), S at (0.3333, 0.6667, 0.3164), S at (0.3333, 0.6667, 0.4339), S at (0.3333, 0.6667, 0.8212) and S at (0.3333, 0.6667, 0.9396).

Its density of states at the Fermi level is 9.728 states/eV per cell. Its uncorrected formation energy is -0.9379 eV/atom. Its raw total energy is -103.453 eV per cell. The theoretical density is 7.0 g cm⁻³.

=====

(4)
Ta2MoS6 | GGA-PBE | optimized geometry

The space group is C2/m (No. 12) and the conventional cell measures 12.2907, 3.9311 and 8.8592 Å, with angles of 90.00, 107.82 and 90.00 degrees. The distinct sites, in fractional coordinates, are Ta at (0.2231, 0.0000, 0.1635), Mo at (0.0000, 0.0000, 0.5000), S at (0.1064, 0.0000, 0.3153), S at (0.1068, 0.5000, 0.6251) and S at (0.1398, 0.5000, 0.0145).

Its density of states at the Fermi level is 8.770 states/eV per cell. Its uncorrected formation energy is -0.5533 eV/atom. The polymorph energy (0 for the lowest one) comes out at 0.427 eV per atom. Its raw total energy is -128.561 eV per cell. The theoretical density is 5.3 g cm⁻³.